No. 1
The following is a GGA-PBE calculation of a relaxed Pm3Si2H crystal, from Alexandria via LeMat-Bulk.

Geometry as CIF:
```
data_Pm3Si2H
_cell_length_a 7.1490
_cell_length_b 7.1490
_cell_length_c 8.1574
_cell_angle_alpha 106.60
_cell_angle_beta 106.60
_cell_angle_gamma 48.58
_space_group_name_H-M_alt 'P 1'
_space_group_IT_number 1
loop_
_space_group_symop_operation_xyz
'x,y,z'
loop_
_atom_site_label
_atom_site_type_symbol
_atom_site_fract_x
_atom_site_fract_y
_atom_site_fract_z
Pm1 Pm 0.0245 0.9755 0.7500
Pm2 Pm 0.3349 0.3365 0.4180
Pm3 Pm 0.3365 0.3349 0.9180
Pm4 Pm 0.6635 0.6651 0.0820
Pm5 Pm 0.6651 0.6635 0.5820
Pm6 Pm 0.9755 0.0245 0.2500
Si1 Si 0.1634 0.1670 0.0827
Si2 Si 0.1670 0.1634 0.5827
Si3 Si 0.8330 0.8366 0.4173
Si4 Si 0.8366 0.8330 0.9173
H1 H 0.4610 0.5390 0.7500
H2 H 0.5390 0.4610 0.2500
```

Computed properties:
E_tot: -5.225 eV/atom
SG: C2/c (15)

---

No. 2
The following is a GGA-PBE calculation of a relaxed Pm2SiH crystal, from Alexandria via LeMat-Bulk.

Geometry as CIF:
```
data_Pm2SiH
_cell_length_a 3.3501
_cell_length_b 3.3501
_cell_length_c 7.1809
_cell_angle_alpha 90.00
_cell_angle_beta 90.00
_cell_angle_gamma 90.00
_space_group_name_H-M_alt 'P 1'
_space_group_IT_number 1
loop_
_space_group_symop_operation_xyz
'x,y,z'
loop_
_atom_site_label
_atom_site_type_symbol
_atom_site_fract_x
_atom_site_fract_y
_atom_site_fract_z
Pm1 Pm 0.0000 0.0000 0.2392
Pm2 Pm 0.0000 0.0000 0.7608
Si1 Si 0.5000 0.5000 0.5000
H1 H 0.5000 0.5000 0.0000
```

Computed properties:
E_tot: -4.803 eV/atom
distance to the lowest polymorph of the same formula: 0.223 eV per atom
SG: P4/mmm (123)

---

No. 3
The following is a GGA-PBE calculation of a relaxed Pm2SiH crystal, from Alexandria via LeMat-Bulk.

Geometry as CIF:
```
data_Pm2SiH
_cell_length_a 4.9344
_cell_length_b 4.9344
_cell_length_c 4.9344
_cell_angle_alpha 60.00
_cell_angle_beta 60.00
_cell_angle_gamma 60.00
_space_group_name_H-M_alt 'P 1'
_space_group_IT_number 1
loop_
_space_group_symop_operation_xyz
'x,y,z'
loop_
_atom_site_label
_atom_site_type_symbol
_atom_site_fract_x
_atom_site_fract_y
_atom_site_fract_z
Pm1 Pm 0.2500 0.2500 0.2500
Pm2 Pm 0.7500 0.7500 0.7500
Si1 Si 0.0000 0.0000 0.0000
H1 H 0.5000 0.5000 0.5000
```

Computed properties:
E_tot: -4.928 eV/atom
distance to the lowest polymorph of the same formula: 0.098 eV per atom
SG: Fm-3m (225)

---

No. 4
The following is a GGA-PBE calculation of a relaxed PmSiH crystal, from Alexandria via LeMat-Bulk.

Geometry as CIF:
```
data_PmSiH
_cell_length_a 5.8897
_cell_length_b 5.8897
_cell_length_c 5.5603
_cell_angle_alpha 102.88
_cell_angle_beta 102.88
_cell_angle_gamma 37.92
_space_group_name_H-M_alt 'P 1'
_space_group_IT_number 1
loop_
_space_group_symop_operation_xyz
'x,y,z'
loop_
_atom_site_label
_atom_site_type_symbol
_atom_site_fract_x
_atom_site_fract_y
_atom_site_fract_z
Pm1 Pm 0.0988 0.0988 0.3062
Pm2 Pm 0.9012 0.9012 0.6938
Si1 Si 0.2077 0.2077 0.8713
Si2 Si 0.7923 0.7923 0.1287
H1 H 0.4950 0.4950 0.7303
H2 H 0.5050 0.5050 0.2697
```

Computed properties:
E_tot: -4.739 eV/atom
distance to the lowest polymorph of the same formula: 0.495 eV per atom
SG: C2/m (12)